Li4Cr3GaO8 | meta-GGA SCAN | single point on PBEsol structure

extended XYZ file:
```
16
Lattice="5.043 0.001 0.000 -1.682 4.741 0.000 0.000 0.000 5.823" Properties=species:S:1:pos:R:3 pbc="T T T"
O 0.843 1.072 1.463
O -0.003 3.687 2.911
O 3.364 1.055 2.911
O 0.843 1.072 4.359
O 2.518 3.670 1.463
O 0.009 3.667 0.000
O 2.518 3.670 4.359
O 3.353 1.075 0.000
Li -0.841 2.371 1.465
Li 1.681 2.371 2.911
Li -0.841 2.371 4.358
Li 1.681 2.371 0.000
Ga 0.000 0.000 0.000
Cr 0.000 0.000 2.911
Cr 2.521 0.001 1.454
Cr 2.521 0.001 4.369
```

Values from the calculation:
The formation energy without anion corrections is -235 kJ/mol of atoms.

***

K3IrPd | meta-GGA SCAN | single point on PBEsol structure

extended XYZ file:
```
5
Lattice="5.785 0.000 0.000 0.000 5.785 0.000 0.000 0.000 5.785" Properties=species:S:1:pos:R:3 pbc="T T T"
K 0.000 0.000 2.892
K 0.000 2.892 0.000
K 2.892 0.000 0.000
Ir 2.892 2.892 2.892
Pd 0.000 0.000 0.000
```

Values from the calculation:
Its formation energy is 0.98 eV per atom.

***

ZrSc2TcBi | meta-GGA SCAN | single point on PBEsol structure

extended XYZ file:
```
5
Lattice="5.200 0.000 0.000 0.000 5.200 0.000 0.000 0.000 5.370" Properties=species:S:1:pos:R:3 pbc="T T T"
Sc 2.600 0.000 0.000
Sc 0.000 2.600 0.000
Bi 0.000 0.000 0.000
Tc 2.600 2.600 2.685
Zr 0.000 0.000 2.685
```

Values from the calculation:
Its formation energy is 1.16 eV per atom.

***

ScFeAsBr2 | meta-GGA SCAN | single point on PBEsol structure

extended XYZ file:
```
5
Lattice="-4.168 -0.440 -2.765 2.054 -3.851 -2.483 -2.041 -3.425 3.622" Properties=species:S:1:pos:R:3 pbc="T T T"
Sc 0.000 0.000 0.000
Br 1.027 -1.925 -1.242
Br -2.084 -0.220 -1.383
As -1.021 -1.712 1.811
Fe -2.078 -3.858 -0.813
```

Values from the calculation:
The energy relative to the lowest polymorph listed for this composition comes out at 0.0 meV per atom. The formation energy without anion corrections is -15 kJ/mol of atoms.

***

YCdTcB2 | meta-GGA SCAN | single point on PBEsol structure

extended XYZ file:
```
5
Lattice="-0.955 0.001 4.044 -3.909 -1.065 -0.923 1.359 -5.264 0.323" Properties=species:S:1:pos:R:3 pbc="T T T"
B -0.478 0.001 2.022
B -1.954 -0.533 -0.461
Y 0.679 -2.632 0.161
Tc -1.753 -3.164 1.722
Cd 0.000 0.000 0.000
```

Values from the calculation:
Its formation energy is 1.91 eV per atom.

***

KInAs2 | meta-GGA SCAN | single point on PBEsol structure

extended XYZ file:
```
4
Lattice="4.470 0.000 0.000 0.000 4.470 0.000 -2.235 -2.235 4.623" Properties=species:S:1:pos:R:3 pbc="T T T"
K 0.000 2.235 2.311
As 0.000 0.000 0.000
As 2.235 0.000 2.311
In 2.235 2.235 0.000
```

Values from the calculation:
Its formation energy is 0.15 eV per atom.

***

SrBeRe2 | meta-GGA SCAN | single point on PBEsol structure

extended XYZ file:
```
4
Lattice="-0.008 -0.283 -2.599 2.935 -3.789 0.404 -5.521 -1.069 1.448" Properties=species:S:1:pos:R:3 pbc="T T T"
Re -0.934 -3.871 -0.890
Re -1.660 -1.270 0.144
Be -0.004 -0.142 -1.299
Sr 1.467 -1.895 0.202
```

Values from the calculation:
Its formation energy is 0.71 eV per atom.

***

Ag2PRu | meta-GGA SCAN | single point on PBEsol structure

extended XYZ file:
```
4
Lattice="-1.694 -2.196 -1.371 3.213 -2.970 0.788 -2.643 1.587 4.214" Properties=species:S:1:pos:R:3 pbc="T T T"
P 0.652 -2.640 -0.067
Ag -1.883 -1.646 1.473
Ag -1.084 -3.558 3.548
Ru 0.826 -1.897 2.019
```

Values from the calculation:
The energy relative to the lowest polymorph listed for this composition comes out at 101.8 meV per atom. Its formation energy is 0.26 eV per atom.

***

no.,ρ (g cm⁻³),total magnetic moment (μB/f.u.)
1,4.5,9.0
2,3.6,1.9
3,5.6,1.7
4,4.1,3.6
5,5.7,2.3
6,5.5,0.0
7,12.1,0.0
8,9.4,0.0